Record 1
DFT (PBE) results for a geometry-optimized ScTl2Tc structure.

Output
* energy relative to the elements: 0.26 eV per atom
* ρ: 11.16 g cm⁻³
* magnetic moment: 0.8 μB per formula unit
* crystal system: tetragonal
* space group: P4/mmm (123)

```
ScTl2Tc
1.0
-1.7313 0.2098 -3.9147
2.2903 -3.4190 -1.1963
-3.3177 -2.6855 1.3234
Tc Tl Sc
1 2 1
Direct
0.0000 0.5000 0.5000
0.5000 0.5000 0.0000
0.0000 0.0000 0.0000
0.5000 0.0000 0.5000
```

***

Record 2
DFT (PBE) results for a geometry-optimized ScTl2Tc structure.

Output
* energy relative to the elements: 0.22 eV per atom
* ρ: 10.82 g cm⁻³
* magnetic moment: 0.0 μB per formula unit
* crystal system: orthorhombic
* space group: Imm2 (44)

```
ScTl2Tc
1.0
-2.0341 -5.3571 1.3392
0.8429 -4.8767 3.1838
-2.5823 -0.1767 4.0735
Tc Sc Tl
1 1 2
Direct
0.2376 0.2376 0.2625
0.5368 0.5368 0.4632
0.9752 0.9752 0.0247
0.7504 0.7504 0.7496
```

***

Record 3
DFT (PBE) results for a geometry-optimized ScTl2Tc structure.

Output
* energy relative to the elements: 0.20 eV per atom
* ρ: 11.27 g cm⁻³
* magnetic moment: 0.7 μB per formula unit
* crystal system: tetragonal
* space group: I4/mmm (139)

```
ScTl2Tc
1.0
5.2567 0.0134 0.0000
1.6069 5.0051 0.0000
-3.4318 -2.5092 3.0918
Tl Sc Tc
2 1 1
Direct
0.0000 0.0000 0.0000
0.5000 0.5000 0.0000
0.2500 0.7500 0.5000
0.7500 0.2500 0.5000
```

***

Record 4
DFT (PBE) results for a geometry-optimized ScTlTc2 structure.

Output
* energy relative to the elements: -0.02 eV per atom
* ρ: 9.91 g cm⁻³
* magnetic moment: 0.0 μB per formula unit
* crystal system: tetragonal
* space group: P4mm (99)

```
ScTlTc2
1.0
-2.9924 0.4787 -0.3008
-0.0988 -2.0381 -2.2607
-1.4711 -5.8448 5.3336
Tc Sc Tl
2 1 1
Direct
0.5000 0.5000 0.2032
0.0000 0.0000 0.0297
0.5000 0.5000 0.7881
0.0000 0.0000 0.4790
```

***

Record 5
DFT (PBE) results for a geometry-optimized ScTlTc2 structure.

Output
* energy relative to the elements: 0.55 eV per atom
* ρ: 9.09 g cm⁻³
* magnetic moment: 0.0 μB per formula unit
* crystal system: tetragonal
* space group: I-42d (122)

```
ScTlTc2
1.0
4.0842 0.0000 0.0000
0.0000 4.0842 0.0000
2.0421 2.0421 9.7572
Tc Tl Sc
4 2 2
Direct
0.3750 0.4622 0.7500
0.5378 0.1250 0.2500
0.2122 0.6250 0.2500
0.8750 0.7878 0.7500
0.7500 0.2500 0.5000
0.0000 0.0000 0.0000
0.5000 0.5000 0.0000
0.2500 0.7500 0.5000
```

***

Record 6
DFT (PBE) results for a geometry-optimized ScTlTc2 structure.

Output
* energy relative to the elements: 0.39 eV per atom
* ρ: 10.49 g cm⁻³
* magnetic moment: 0.0 μB per formula unit
* crystal system: cubic
* space group: Fm-3m (225)

```
ScTlTc2
1.0
-3.0492 -3.4287 0.6682
-0.2205 -2.1385 4.1083
-3.6635 0.6614 2.7643
Tc Sc Tl
2 1 1
Direct
0.7500 0.7500 0.7500
0.2500 0.2500 0.2500
0.0000 0.0000 0.0000
0.5000 0.5000 0.5000
```

***

Record 7
DFT (PBE) results for a geometry-optimized Sc4Tl3Tc structure.

Output
* energy relative to the elements: -0.29 eV per atom
* ρ: 8.51 g cm⁻³
* magnetic moment: 0.4 μB per formula unit
* crystal system: tetragonal
* space group: P4/mmm (123)

```
Sc4Tl3Tc
1.0
-0.5130 0.9381 -3.2347
-3.3663 -0.0391 0.5226
0.4693 14.3924 4.0995
Tl Sc Tc
3 4 1
Direct
0.5000 0.5000 0.7694
0.5000 0.5000 0.5000
0.5000 0.5000 0.2306
0.0000 0.0000 0.6359
0.0000 0.0000 0.9018
0.0000 0.0000 0.0982
0.0000 0.0000 0.3641
0.5000 0.5000 0.0000
```

***

Record 8
DFT (PBE) results for a geometry-optimized ScTl2Tc structure.

Output
* energy relative to the elements: 0.50 eV per atom
* ρ: 9.96 g cm⁻³
* magnetic moment: 1.0 μB per formula unit
* crystal system: tetragonal
* space group: I-42d (122)

```
ScTl2Tc
1.0
7.8904 0.0000 0.0000
0.0000 7.8904 0.0000
3.9452 3.9452 2.9538
Sc Tc Tl
2 2 4
Direct
0.5000 0.5000 0.0000
0.2500 0.7500 0.5000
0.0000 0.0000 0.0000
0.7500 0.2500 0.5000
0.3750 0.3528 0.7500
0.1028 0.6250 0.2500
0.6472 0.1250 0.2500
0.8750 0.8972 0.7500
```

***

Record 9
DFT (PBE) results for a geometry-optimized Sc4TlTc structure.

Output
* energy relative to the elements: -0.03 eV per atom
* ρ: 5.42 g cm⁻³
* magnetic moment: 0.0 μB per formula unit
* crystal system: trigonal
* space group: R-3m (166)

```
Sc4TlTc
1.0
-2.8827 -1.7031 -3.4034
-3.3197 -3.2564 1.0927
-6.9696 3.8148 0.6455
Tl Sc Tc
1 4 1
Direct
0.5000 0.5000 0.5000
0.6358 0.6359 0.0924
0.1136 0.1133 0.6595
0.3642 0.3641 0.9076
0.8864 0.8867 0.3405
0.0000 0.0000 0.0000
```

***

Record 10
DFT (PBE) results for a geometry-optimized ScTlTc2 structure.

Output
* energy relative to the elements: 0.25 eV per atom
* ρ: 10.53 g cm⁻³
* magnetic moment: 0.0 μB per formula unit
* crystal system: tetragonal
* space group: I-4m2 (119)

```
ScTlTc2
1.0
4.8789 0.0000 0.0000
1.1144 4.7499 0.0000
-2.9966 -2.3749 3.0304
Sc Tl Tc
1 1 2
Direct
0.7500 0.2500 0.5000
0.5000 0.5000 0.0000
0.2500 0.7500 0.5000
0.0000 0.0000 0.0000
```

***

Record 11
DFT (PBE) results for a geometry-optimized Sc4TlTc structure.

Output
* energy relative to the elements: -0.23 eV per atom
* ρ: 5.75 g cm⁻³
* magnetic moment: 0.0 μB per formula unit
* crystal system: monoclinic
* space group: C2/c (15)

```
Sc4TlTc
1.0
-3.7179 -1.8825 -4.1445
-0.5583 -5.5362 4.7440
-3.6300 5.9171 2.2973
Sc Tl Tc
8 2 2
Direct
0.6124 0.1960 0.3576
0.9502 0.0627 0.7248
0.5498 0.2752 0.9373
0.4502 0.7248 0.0627
0.1124 0.3576 0.1960
0.8876 0.6424 0.8040
0.3876 0.8040 0.6424
0.0498 0.9373 0.2752
0.2500 0.3736 0.6264
0.7500 0.6264 0.3736
0.2500 0.9989 0.0011
0.7500 0.0011 0.9989
```

***

Record 12
DFT (PBE) results for a geometry-optimized ScTl2Tc structure.

Output
* energy relative to the elements: 0.31 eV per atom
* ρ: 10.85 g cm⁻³
* magnetic moment: 0.7 μB per formula unit
* crystal system: monoclinic
* space group: P2/m (10)

```
ScTl2Tc
1.0
4.6774 0.0000 0.0000
0.0000 3.1537 0.0165
0.0000 1.6386 5.7341
Sc Tl Tc
1 2 1
Direct
0.5000 0.2500 0.2500
0.0000 0.5836 0.5118
0.0000 0.9164 0.9882
0.5000 0.7500 0.7500
```

***

Record 13
DFT (PBE) results for a geometry-optimized ScTlTc2 structure.

Output
* energy relative to the elements: 0.33 eV per atom
* ρ: 10.42 g cm⁻³
* magnetic moment: 0.0 μB per formula unit
* crystal system: orthorhombic
* space group: Immm (71)

```
ScTlTc2
1.0
5.4244 -0.0024 0.0015
2.4528 4.8381 -0.0015
-3.4851 -3.1566 2.7044
Tl Tc Sc
1 2 1
Direct
0.7500 0.2500 0.5000
0.4913 0.4913 0.0000
0.0087 0.0087 0.0000
0.2500 0.7500 0.5000
```

***

Record 14
DFT (PBE) results for a geometry-optimized ScTlTc2 structure.

Output
* energy relative to the elements: 0.25 eV per atom
* ρ: 10.58 g cm⁻³
* magnetic moment: 0.0 μB per formula unit
* crystal system: tetragonal
* space group: P4/mmm (123)

```
ScTlTc2
1.0
4.0675 0.0000 0.0000
0.0000 4.0663 0.0000
0.0000 0.0000 4.2258
Sc Tc Tl
1 2 1
Direct
0.0000 0.5000 0.5000
0.5000 0.5000 0.0000
0.0000 0.0000 0.0000
0.5000 0.0000 0.5000
```

***

Record 15
DFT (PBE) results for a geometry-optimized Sc6Tl2Tc structure.

Output
* energy relative to the elements: -0.26 eV per atom
* ρ: 6.27 g cm⁻³
* magnetic moment: 0.0 μB per formula unit
* crystal system: hexagonal
* space group: P-62m (189)

```
Sc6Tl2Tc
1.0
-0.4736 3.4955 0.9971
0.1167 -2.1937 7.7457
6.8547 1.9910 -3.7238
Sc Tl Tc
6 2 1
Direct
0.5000 0.0000 0.6191
0.5000 0.6187 0.0000
0.5000 0.3810 0.3809
0.0000 0.7569 0.7571
0.0000 0.9998 0.2429
0.0000 0.2433 0.0000
0.0000 0.3332 0.6664
0.0000 0.6668 0.3336
0.5000 0.0002 0.0000
```

***

Record 16
DFT (PBE) results for a geometry-optimized ScTlTc2 structure.

Output
* energy relative to the elements: 0.31 eV per atom
* ρ: 9.32 g cm⁻³
* magnetic moment: 0.0 μB per formula unit
* crystal system: monoclinic
* space group: C2/m (12)

```
ScTlTc2
1.0
5.1499 -0.0244 0.0457
4.1666 3.0268 0.0457
0.9098 0.2932 5.0641
Sc Tc Tl
1 2 1
Direct
0.2500 0.2500 0.2500
0.4922 0.4922 0.4257
0.0078 0.0078 0.0743
0.7500 0.7500 0.7500
```

***

Record 17
DFT (PBE) results for a geometry-optimized ScTlTc2 structure.

Output
* energy relative to the elements: 0.26 eV per atom
* ρ: 9.50 g cm⁻³
* magnetic moment: 0.0 μB per formula unit
* crystal system: monoclinic
* space group: P2/m (10)

```
ScTlTc2
1.0
-3.2103 -2.6946 -1.6926
1.1904 -2.3427 1.4719
-2.7882 0.0727 5.1724
Tl Tc Sc
1 2 1
Direct
0.5000 0.2500 0.2500
0.0000 0.3579 0.5540
0.0000 0.1421 0.9460
0.5000 0.7500 0.7500
```

***

Record 18
DFT (PBE) results for a geometry-optimized Sc4TlTc structure.

Output
* energy relative to the elements: 0.41 eV per atom
* ρ: 6.37 g cm⁻³
* magnetic moment: 0.0 μB per formula unit
* crystal system: cubic
* space group: F-43m (216)

```
Sc4TlTc
1.0
0.0000 3.9752 3.9752
3.9752 0.0000 3.9752
3.9752 3.9752 0.0000
Tc Sc Tl
1 4 1
Direct
0.7500 0.7500 0.7500
0.8679 0.3774 0.3774
0.3774 0.8679 0.3774
0.3774 0.3774 0.8679
0.3774 0.3774 0.3774
0.0000 0.0000 0.0000
```

***

Record 19
DFT (PBE) results for a geometry-optimized ScTlTc2 structure.

Output
* energy relative to the elements: 0.24 eV per atom
* ρ: 9.84 g cm⁻³
* magnetic moment: 0.0 μB per formula unit
* crystal system: trigonal
* space group: R3m (160)

```
ScTlTc2
1.0
9.1756 -0.0283 -0.0167
8.6597 3.0335 -0.0167
8.6597 1.4591 2.6596
Tc Sc Tl
2 1 1
Direct
0.9947 0.9947 0.9947
0.2604 0.2604 0.2604
0.7405 0.7405 0.7405
0.5045 0.5045 0.5045
```

***

Record 20
DFT (PBE) results for a geometry-optimized ScTlTc2 structure.

Output
* energy relative to the elements: 0.15 eV per atom
* ρ: 10.32 g cm⁻³
* magnetic moment: 0.0 μB per formula unit
* crystal system: orthorhombic
* space group: Imm2 (44)

```
ScTlTc2
1.0
-4.1982 -2.7752 2.0141
-1.8316 -5.0038 0.9947
0.5197 -1.4170 4.3045
Sc Tc Tl
1 2 1
Direct
0.2628 0.2628 0.2373
0.7292 0.7292 0.7710
0.0200 0.0200 0.9799
0.4880 0.4880 0.5119
```